NaTcBRh2: relaxed, PBE.

a b c (Å): 4.086 4.407 4.086
angles (deg): 90.00 90.00 90.00
Atoms (fractional coordinates):
B: 0.000 0.000 0.000
Rh: 0.500 0.000 0.000
Rh: 0.000 0.000 0.500
Tc: 0.500 0.500 0.500
Na: 0.000 0.500 0.000

Output
DOS(E_F) = 3.8 states/eV/f.u.
calculated formation energy = 13.29 kcal/mol of atoms
spin magnetization = 3.23 μB per formula unit